# Sm2Cu4Ge3Pt, relaxed, DFT PBE
# * DFT formation energy: -5.1 eV per formula unit
# * energy: -5.083 eV/atom
# * volume: 17.560 Å³ per atom
# * D(E_F): 5.355 states/eV/f.u.
data_Sm2Cu4Ge3Pt
_chemical_formula_sum 'Sm2 Cu4 Ge3 Pt1'
_cell_length_a 4.1423
_cell_length_b 4.1423
_cell_length_c 10.2343
_cell_angle_alpha 90.00
_cell_angle_beta 90.00
_cell_angle_gamma 90.00
_space_group_name_H-M_alt 'P -4 m 2'
_space_group_IT_number 115
_space_group_name_Hall 'P -4 -2'
loop_
_atom_site_label
_atom_site_type_symbol
_atom_site_fract_x
_atom_site_fract_y
_atom_site_fract_z
_atom_site_occupancy
Sm1 Sm 0.0000 0.5000 0.2488 1
Cu1 Cu 0.0000 0.0000 0.0000 1
Cu2 Cu 0.0000 0.5000 0.6411 1
Cu3 Cu 0.5000 0.5000 0.0000 1
Ge1 Ge 0.0000 0.5000 0.8706 1
Ge2 Ge 0.5000 0.5000 0.5000 1
Pt1 Pt 0.0000 0.0000 0.5000 1